Record 1
# meta-GGA SCAN Zn2InCo, single point on PBEsol structure
# - Total magnetization: 0.00 μB/atom
# - ΔE_f: 0.8 eV per formula unit
# - Space group: P4/mmm (123)
# - Calculated total energy: -19.236 eV per atom
data_Zn2InCo
_space_group_name_H-M_alt 'P 1'
_space_group_IT_number 1
_space_group_name_Hall 'P 1'
_cell_length_a 2.9067
_cell_length_b 2.9067
_cell_length_c 7.2410
_cell_angle_alpha 90.00
_cell_angle_beta 90.00
_cell_angle_gamma 90.00
loop_
_atom_site_label
_atom_site_fract_x
_atom_site_fract_y
_atom_site_fract_z
In1 0.5000 0.5000 0.5000
Zn1 0.0000 0.0000 0.8140
Zn2 0.0000 0.0000 0.1860
Co1 0.5000 0.5000 0.0000

Record 2
# meta-GGA SCAN V3Ni20B6, single point on PBEsol structure
# - Total magnetization: 0.00 μB/atom
# - ΔE_f: -9.2 eV per formula unit
# - Space group: Fm-3m (225)
# - Calculated total energy: -14.817 eV per atom
data_V3Ni20B6
_space_group_name_H-M_alt 'P 1'
_space_group_IT_number 1
_space_group_name_Hall 'P 1'
_cell_length_a 7.3067
_cell_length_b 7.3067
_cell_length_c 7.3067
_cell_angle_alpha 60.00
_cell_angle_beta 60.00
_cell_angle_gamma 60.00
loop_
_atom_site_label
_atom_site_fract_x
_atom_site_fract_y
_atom_site_fract_z
V1 0.2500 0.2500 0.2500
V2 0.7500 0.7500 0.7500
V3 0.0000 0.0000 0.0000
B1 0.7311 0.2689 0.7311
B2 0.7311 0.7311 0.2689
B3 0.7311 0.2689 0.2689
B4 0.2689 0.7311 0.7311
B5 0.2689 0.2689 0.7311
B6 0.2689 0.7311 0.2689
Ni1 0.3815 0.8556 0.3815
Ni2 0.8556 0.3815 0.3815
Ni3 0.0000 0.6596 0.0000
Ni4 0.6185 0.6185 0.1444
Ni5 0.0000 0.3404 0.6596
Ni6 0.3404 0.0000 0.0000
Ni7 0.0000 0.0000 0.6596
Ni8 0.0000 0.0000 0.3404
Ni9 0.3815 0.3815 0.8556
Ni10 0.6596 0.3404 0.0000
Ni11 0.0000 0.6596 0.3404
Ni12 0.6596 0.0000 0.0000
Ni13 0.1444 0.6185 0.6185
Ni14 0.3404 0.6596 0.0000
Ni15 0.3404 0.0000 0.6596
Ni16 0.3815 0.3815 0.3815
Ni17 0.6185 0.1444 0.6185
Ni18 0.6185 0.6185 0.6185
Ni19 0.0000 0.3404 0.0000
Ni20 0.6596 0.0000 0.3404

Record 3
# meta-GGA SCAN K3Au, single point on PBEsol structure
# - Total magnetization: 0.00 μB/atom
# - ΔE_f: -0.5 eV per formula unit
# - Space group: P6_3/mmc (194)
# - Calculated total energy: -23.663 eV per atom
data_K3Au
_space_group_name_H-M_alt 'P 1'
_space_group_IT_number 1
_space_group_name_Hall 'P 1'
_cell_length_a 5.6993
_cell_length_b 7.9561
_cell_length_c 7.9561
_cell_angle_alpha 120.00
_cell_angle_beta 90.00
_cell_angle_gamma 90.00
loop_
_atom_site_label
_atom_site_fract_x
_atom_site_fract_y
_atom_site_fract_z
K1 0.2500 0.8167 0.6334
K2 0.7500 0.1833 0.8167
K3 0.7500 0.1833 0.3666
K4 0.2500 0.3666 0.1833
K5 0.2500 0.8167 0.1833
K6 0.7500 0.6334 0.8167
Au1 0.2500 0.3333 0.6667
Au2 0.7500 0.6667 0.3333

Record 4
# meta-GGA SCAN TaSn2BiRh, single point on PBEsol structure
# - Total magnetization: 0.22 μB/atom
# - ΔE_f: 2.4 eV per formula unit
# - Space group: P4/mmm (123)
# - Calculated total energy: -49.679 eV per atom
data_TaSn2BiRh
_space_group_name_H-M_alt 'P 1'
_space_group_IT_number 1
_space_group_name_Hall 'P 1'
_cell_length_a 4.9850
_cell_length_b 4.9882
_cell_length_c 4.9882
_cell_angle_alpha 90.00
_cell_angle_beta 90.00
_cell_angle_gamma 90.00
loop_
_atom_site_label
_atom_site_fract_x
_atom_site_fract_y
_atom_site_fract_z
Rh1 0.0000 0.0000 0.0000
Ta1 0.5000 0.0000 0.0000
Bi1 0.5000 0.5000 0.5000
Sn1 0.0000 0.0000 0.5000
Sn2 0.0000 0.5000 0.0000

Record 5
# meta-GGA SCAN AgPdS2N, single point on PBEsol structure
# - Energy relative to the elements, uncorrected: 0.87 eV per atom
# - Total magnetization: 0.00 μB/atom
# - Space group: P4/mmm (123)
# - Calculated total energy: -17.669 eV per atom
data_AgPdS2N
_space_group_name_H-M_alt 'P 1'
_space_group_IT_number 1
_space_group_name_Hall 'P 1'
_cell_length_a 3.5898
_cell_length_b 4.8718
_cell_length_c 4.8718
_cell_angle_alpha 90.00
_cell_angle_beta 90.00
_cell_angle_gamma 90.00
loop_
_atom_site_label
_atom_site_fract_x
_atom_site_fract_y
_atom_site_fract_z
S1 0.0000 0.0000 0.5000
S2 0.0000 0.5000 0.0000
Ag1 0.5000 0.5000 0.5000
N1 0.5000 0.0000 0.0000
Pd1 0.0000 0.0000 0.0000

Record 6
# meta-GGA SCAN BaPPd3, single point on PBEsol structure
# - Total magnetization: 0.00 μB/atom
# - ΔE_f: -3.2 eV per formula unit
# - Space group: Pm-3m (221)
# - Calculated total energy: -30.302 eV per atom
data_BaPPd3
_space_group_name_H-M_alt 'P 1'
_space_group_IT_number 1
_space_group_name_Hall 'P 1'
_cell_length_a 4.6637
_cell_length_b 4.6637
_cell_length_c 4.6637
_cell_angle_alpha 90.00
_cell_angle_beta 90.00
_cell_angle_gamma 90.00
loop_
_atom_site_label
_atom_site_fract_x
_atom_site_fract_y
_atom_site_fract_z
Pd1 0.0000 0.5000 0.0000
Pd2 0.5000 0.0000 0.0000
Pd3 0.0000 0.0000 0.5000
P1 0.0000 0.0000 0.0000
Ba1 0.5000 0.5000 0.5000

Record 7
# meta-GGA SCAN YSi2Cl, single point on PBEsol structure
# - Energy relative to the elements, uncorrected: 0.34 eV per atom
# - Excess energy over the best structure of this formula in the dataset: 712 meV/atom
# - Total magnetization: 0.00 μB/atom
# - Space group: Fm-3m (225)
# - Calculated total energy: -13.625 eV per atom
data_YSi2Cl
_space_group_name_H-M_alt 'P 1'
_space_group_IT_number 1
_space_group_name_Hall 'P 1'
_cell_length_a 4.8681
_cell_length_b 4.8681
_cell_length_c 4.8681
_cell_angle_alpha 60.00
_cell_angle_beta 60.00
_cell_angle_gamma 60.00
loop_
_atom_site_label
_atom_site_fract_x
_atom_site_fract_y
_atom_site_fract_z
Si1 0.2500 0.2500 0.2500
Si2 0.7500 0.7500 0.7500
Y1 0.5000 0.5000 0.5000
Cl1 0.0000 0.0000 0.0000

Record 8
# meta-GGA SCAN LaCdFe3, single point on PBEsol structure
# - Excess energy over the best structure of this formula in the dataset: 0 meV/atom
# - Total magnetization: 1.64 μB/atom
# - ΔE_f: 4.2 eV per formula unit
# - Space group: Pm-3m (221)
# - Calculated total energy: -24.746 eV per atom
data_LaCdFe3
_space_group_name_H-M_alt 'P 1'
_space_group_IT_number 1
_space_group_name_Hall 'P 1'
_cell_length_a 4.7771
_cell_length_b 4.7771
_cell_length_c 4.7771
_cell_angle_alpha 90.00
_cell_angle_beta 90.00
_cell_angle_gamma 90.00
loop_
_atom_site_label
_atom_site_fract_x
_atom_site_fract_y
_atom_site_fract_z
Cd1 0.0000 0.0000 0.0000
Fe1 0.0000 0.0000 0.5000
Fe2 0.5000 0.0000 0.0000
Fe3 0.0000 0.5000 0.0000
La1 0.5000 0.5000 0.5000

Record 9
# meta-GGA SCAN KFe2P, single point on PBEsol structure
# - Total magnetization: 1.54 μB/atom
# - ΔE_f: 3.4 eV per formula unit
# - Space group: F-43m (216)
# - Calculated total energy: -12.895 eV per atom
data_KFe2P
_space_group_name_H-M_alt 'P 1'
_space_group_IT_number 1
_space_group_name_Hall 'P 1'
_cell_length_a 4.4750
_cell_length_b 4.4750
_cell_length_c 4.4750
_cell_angle_alpha 60.00
_cell_angle_beta 60.00
_cell_angle_gamma 60.00
loop_
_atom_site_label
_atom_site_fract_x
_atom_site_fract_y
_atom_site_fract_z
Fe1 0.0000 0.0000 0.0000
Fe2 0.7500 0.7500 0.7500
P1 0.2500 0.2500 0.2500
K1 0.5000 0.5000 0.5000

Record 10
# meta-GGA SCAN AlAsSeN2, single point on PBEsol structure
# - Energy relative to the elements, uncorrected: 1.49 eV per atom
# - Total magnetization: 0.41 μB/atom
# - Space group: P4/mmm (123)
# - Calculated total energy: -11.833 eV per atom
data_AlAsSeN2
_space_group_name_H-M_alt 'P 1'
_space_group_IT_number 1
_space_group_name_Hall 'P 1'
_cell_length_a 3.8268
_cell_length_b 3.8268
_cell_length_c 4.9928
_cell_angle_alpha 90.00
_cell_angle_beta 90.00
_cell_angle_gamma 90.00
loop_
_atom_site_label
_atom_site_fract_x
_atom_site_fract_y
_atom_site_fract_z
Se1 0.0000 0.0000 0.0000
As1 0.5000 0.5000 0.5000
N1 0.0000 0.5000 0.0000
N2 0.5000 0.0000 0.0000
Al1 0.0000 0.0000 0.5000

Record 11
# meta-GGA SCAN ZnNiHg2, single point on PBEsol structure
# - Total magnetization: 0.00 μB/atom
# - ΔE_f: 0.9 eV per formula unit
# - Space group: P4/mmm (123)
# - Calculated total energy: -41.268 eV per atom
data_ZnNiHg2
_space_group_name_H-M_alt 'P 1'
_space_group_IT_number 1
_space_group_name_Hall 'P 1'
_cell_length_a 3.2700
_cell_length_b 3.2700
_cell_length_c 6.0743
_cell_angle_alpha 90.00
_cell_angle_beta 90.00
_cell_angle_gamma 90.00
loop_
_atom_site_label
_atom_site_fract_x
_atom_site_fract_y
_atom_site_fract_z
Zn1 0.5000 0.5000 0.5000
Hg1 0.0000 0.0000 0.2379
Hg2 0.0000 0.0000 0.7621
Ni1 0.5000 0.5000 0.0000

Record 12
# meta-GGA SCAN ScMo2Ru, single point on PBEsol structure
# - Excess energy over the best structure of this formula in the dataset: 103 meV/atom
# - Total magnetization: 0.00 μB/atom
# - ΔE_f: -0.1 eV per formula unit
# - Space group: Pm (6)
# - Calculated total energy: -29.736 eV per atom
data_ScMo2Ru
_space_group_name_H-M_alt 'P 1'
_space_group_IT_number 1
_space_group_name_Hall 'P 1'
_cell_length_a 2.8087
_cell_length_b 4.3085
_cell_length_c 5.2142
_cell_angle_alpha 90.00
_cell_angle_beta 99.96
_cell_angle_gamma 90.00
loop_
_atom_site_label
_atom_site_fract_x
_atom_site_fract_y
_atom_site_fract_z
Mo1 0.7667 0.5000 0.2470
Mo2 0.9745 0.0000 0.0089
Sc1 0.2498 0.5000 0.7426
Ru1 0.5090 0.0000 0.5015

Record 13
# meta-GGA SCAN Te2POs, single point on PBEsol structure
# - Energy relative to the elements, uncorrected: 0.51 eV per atom
# - Excess energy over the best structure of this formula in the dataset: 0 meV/atom
# - Total magnetization: 0.00 μB/atom
# - Space group: R-3m (166)
# - Calculated total energy: -38.682 eV per atom
data_Te2POs
_space_group_name_H-M_alt 'P 1'
_space_group_IT_number 1
_space_group_name_Hall 'P 1'
_cell_length_a 3.7747
_cell_length_b 3.7747
_cell_length_c 7.0210
_cell_angle_alpha 74.41
_cell_angle_beta 74.41
_cell_angle_gamma 60.00
loop_
_atom_site_label
_atom_site_fract_x
_atom_site_fract_y
_atom_site_fract_z
Te1 0.2436 0.2436 0.2692
Te2 0.7564 0.7564 0.7308
P1 0.0000 0.0000 0.0000
Os1 0.5000 0.5000 0.5000

Record 14
# meta-GGA SCAN Ca2TcRu, single point on PBEsol structure
# - Excess energy over the best structure of this formula in the dataset: 514 meV/atom
# - Total magnetization: 0.00 μB/atom
# - ΔE_f: 2.9 eV per formula unit
# - Space group: I4/mmm (139)
# - Calculated total energy: -21.571 eV per atom
data_Ca2TcRu
_space_group_name_H-M_alt 'P 1'
_space_group_IT_number 1
_space_group_name_Hall 'P 1'
_cell_length_a 3.9562
_cell_length_b 3.9562
_cell_length_c 5.4759
_cell_angle_alpha 111.18
_cell_angle_beta 111.18
_cell_angle_gamma 90.00
loop_
_atom_site_label
_atom_site_fract_x
_atom_site_fract_y
_atom_site_fract_z
Ca1 0.2500 0.7500 0.5000
Ca2 0.7500 0.2500 0.5000
Ru1 0.5000 0.5000 0.0000
Tc1 0.0000 0.0000 0.0000

Record 15
# meta-GGA SCAN ScTcSe2, single point on PBEsol structure
# - Energy relative to the elements, uncorrected: -0.42 eV per atom
# - Excess energy over the best structure of this formula in the dataset: 194 meV/atom
# - Total magnetization: 0.88 μB/atom
# - Space group: R-3m (166)
# - Calculated total energy: -22.780 eV per atom
data_ScTcSe2
_space_group_name_H-M_alt 'P 1'
_space_group_IT_number 1
_space_group_name_Hall 'P 1'
_cell_length_a 3.5634
_cell_length_b 3.5634
_cell_length_c 8.3647
_cell_angle_alpha 77.70
_cell_angle_beta 77.70
_cell_angle_gamma 60.00
loop_
_atom_site_label
_atom_site_fract_x
_atom_site_fract_y
_atom_site_fract_z
Se1 0.0995 0.0995 0.7014
Se2 0.9005 0.9005 0.2986
Tc1 0.0000 0.0000 0.0000
Sc1 0.5000 0.5000 0.5000

Record 16
# meta-GGA SCAN Co2AsPb, single point on PBEsol structure
# - Excess energy over the best structure of this formula in the dataset: 50 meV/atom
# - Total magnetization: 0.00 μB/atom
# - ΔE_f: 1.1 eV per formula unit
# - Space group: Imm2 (44)
# - Calculated total energy: -32.363 eV per atom
data_Co2AsPb
_space_group_name_H-M_alt 'P 1'
_space_group_IT_number 1
_space_group_name_Hall 'P 1'
_cell_length_a 3.0102
_cell_length_b 3.4034
_cell_length_c 6.4329
_cell_angle_alpha 105.34
_cell_angle_beta 103.53
_cell_angle_gamma 90.00
loop_
_atom_site_label
_atom_site_fract_x
_atom_site_fract_y
_atom_site_fract_z
As1 0.2067 0.7067 0.4134
Co1 0.7609 0.2609 0.5219
Co2 0.0801 0.0801 0.1603
Pb1 0.4522 0.4522 0.9045

Record 17
# meta-GGA SCAN SrPt2Br, single point on PBEsol structure
# - Energy relative to the elements, uncorrected: 0.20 eV per atom
# - Excess energy over the best structure of this formula in the dataset: 339 meV/atom
# - Total magnetization: 0.00 μB/atom
# - Space group: Cmmm (65)
# - Calculated total energy: -45.329 eV per atom
data_SrPt2Br
_space_group_name_H-M_alt 'P 1'
_space_group_IT_number 1
_space_group_name_Hall 'P 1'
_cell_length_a 3.1738
_cell_length_b 3.1738
_cell_length_c 8.0490
_cell_angle_alpha 90.00
_cell_angle_beta 90.00
_cell_angle_gamma 89.90
loop_
_atom_site_label
_atom_site_fract_x
_atom_site_fract_y
_atom_site_fract_z
Br1 0.5000 0.5000 0.0000
Sr1 0.5000 0.5000 0.5000
Pt1 0.0000 0.0000 0.7704
Pt2 0.0000 0.0000 0.2296

Record 18
# meta-GGA SCAN CdCoOs2, single point on PBEsol structure
# - Total magnetization: 0.00 μB/atom
# - ΔE_f: 1.9 eV per formula unit
# - Space group: Immm (71)
# - Calculated total energy: -47.399 eV per atom
data_CdCoOs2
_space_group_name_H-M_alt 'P 1'
_space_group_IT_number 1
_space_group_name_Hall 'P 1'
_cell_length_a 2.6874
_cell_length_b 4.3963
_cell_length_c 5.4874
_cell_angle_alpha 113.64
_cell_angle_beta 104.17
_cell_angle_gamma 90.00
loop_
_atom_site_label
_atom_site_fract_x
_atom_site_fract_y
_atom_site_fract_z
Co1 0.5000 0.0000 0.0000
Os1 0.7859 0.7860 0.5719
Os2 0.2141 0.2140 0.4281
Cd1 0.0000 0.5000 0.0000

Record 19
# meta-GGA SCAN CoSnNF2, single point on PBEsol structure
# - Energy relative to the elements, uncorrected: -0.43 eV per atom
# - Total magnetization: 0.43 μB/atom
# - Space group: P4/mmm (123)
# - Calculated total energy: -14.344 eV per atom
data_CoSnNF2
_space_group_name_H-M_alt 'P 1'
_space_group_IT_number 1
_space_group_name_Hall 'P 1'
_cell_length_a 3.9797
_cell_length_b 4.1721
_cell_length_c 4.1721
_cell_angle_alpha 90.00
_cell_angle_beta 90.00
_cell_angle_gamma 90.00
loop_
_atom_site_label
_atom_site_fract_x
_atom_site_fract_y
_atom_site_fract_z
N1 0.5000 0.0000 0.0000
F1 0.0000 0.0000 0.5000
F2 0.0000 0.5000 0.0000
Co1 0.5000 0.5000 0.5000
Sn1 0.0000 0.0000 0.0000

Record 20
# meta-GGA SCAN Mo2PbAu, single point on PBEsol structure
# - Total magnetization: 0.00 μB/atom
# - ΔE_f: 2.8 eV per formula unit
# - Space group: P4/mmm (123)
# - Calculated total energy: -52.980 eV per atom
data_Mo2PbAu
_space_group_name_H-M_alt 'P 1'
_space_group_IT_number 1
_space_group_name_Hall 'P 1'
_cell_length_a 3.0761
_cell_length_b 4.7435
_cell_length_c 4.7435
_cell_angle_alpha 90.00
_cell_angle_beta 90.00
_cell_angle_gamma 90.00
loop_
_atom_site_label
_atom_site_fract_x
_atom_site_fract_y
_atom_site_fract_z
Mo1 0.0000 0.5000 0.0000
Mo2 0.0000 0.0000 0.5000
Pb1 0.5000 0.5000 0.5000
Au1 0.5000 0.0000 0.0000